No. 1
The following is a PBE calculation of KPtNCl3 after structural relaxation, from Alexandria.

Unit cell a=4.290 b=16.324 c=9.802 alpha=90.00 beta=90.00 gamma=90.00
Space group Cmcm (No. 63)
One atom of each set of equivalent atoms:
1 K 0.000 0.000 0.000 (multiplicity 4)
2 Pt 0.000 0.332 0.250 (multiplicity 4)
3 N 0.000 0.225 0.250 (multiplicity 4)
4 Cl 0.000 0.346 0.014 (multiplicity 8)
5 Cl 0.000 0.484 0.250 (multiplicity 4)

Results
**Uncorrected formation energy**: -0.284 eV per atom
**Density of states at the Fermi level**: 4.6 states/eV/f.u.


No. 2
The following is a PBE calculation of KCa2Au after structural relaxation, from Alexandria.

Unit cell a=4.891 b=4.891 c=11.144 alpha=90.00 beta=90.00 gamma=90.00
Space group I-4m2 (No. 119)
One atom of each set of equivalent atoms:
1 K 0.000 0.000 0.000 (multiplicity 2)
2 Ca 0.000 0.000 0.500 (multiplicity 2)
3 Ca 0.000 0.500 0.250 (multiplicity 2)
4 Au 0.000 0.500 0.750 (multiplicity 2)

Results
**E_form**: -0.03 eV/atom
**Energy relative to the lowest polymorph listed for this composition**: 330 meV per atom
**Density of states at the Fermi level**: 2.5 states/eV/f.u.


No. 3
The following is a PBE calculation of Pm4In2Hg after structural relaxation, from Alexandria.

Unit cell a=5.877 b=5.877 c=13.287 alpha=90.00 beta=90.00 gamma=90.00
Space group I4/mmm (No. 139)
One atom of each set of equivalent atoms:
1 Pm 0.000 0.500 0.000 (multiplicity 4)
2 Pm 0.000 0.500 0.250 (multiplicity 4)
3 In 0.000 0.000 0.124 (multiplicity 4)
4 Hg 0.000 0.000 0.500 (multiplicity 2)

Results
**E_form**: -0.10 eV/atom
**Energy relative to the lowest polymorph listed for this composition**: 226 meV per atom
**Density of states at the Fermi level**: 11.3 states/eV/f.u.


No. 4
The following is a PBE calculation of CaTb2Ga3Pt4 after structural relaxation, from Alexandria.

Unit cell a=4.124 b=4.124 c=11.761 alpha=90.00 beta=90.00 gamma=90.00
Space group P-4m2 (No. 115)
One atom of each set of equivalent atoms:
1 Ca 0.000 0.000 0.000 (multiplicity 1)
2 Tb 0.000 0.500 0.729 (multiplicity 2)
3 Ga 0.000 0.500 0.373 (multiplicity 2)
4 Ga 0.500 0.500 0.000 (multiplicity 1)
5 Pt 0.000 0.000 0.500 (multiplicity 1)
6 Pt 0.000 0.500 0.163 (multiplicity 2)
7 Pt 0.500 0.500 0.500 (multiplicity 1)

Results
**E_form**: -0.90 eV/atom
**Density of states at the Fermi level**: 4.2 states/eV/f.u.


No. 5
The following is a PBE calculation of HfFeAsBr2 after structural relaxation, from Alexandria.

Unit cell a=5.184 b=5.184 c=5.328 alpha=90.00 beta=90.00 gamma=90.00
Space group P4/mmm (No. 123)
One atom of each set of equivalent atoms:
1 Hf 0.000 0.000 0.000 (multiplicity 1)
2 Fe 0.500 0.500 0.500 (multiplicity 1)
3 As 0.000 0.000 0.500 (multiplicity 1)
4 Br 0.000 0.500 0.000 (multiplicity 2)

Results
**Uncorrected formation energy**: 0.263 eV per atom
**Energy relative to the lowest polymorph listed for this composition**: 0 meV per atom
**Density of states at the Fermi level**: 8.3 states/eV/f.u.


No. 6
The following is a PBE calculation of YHo2Tm4 after structural relaxation, from Alexandria.

Unit cell a=5.973 b=8.335 c=9.748 alpha=85.15 beta=72.48 gamma=69.14
Space group P1 (No. 1)
One atom of each set of equivalent atoms:
1 Y 0.000 0.000 0.000 (multiplicity 1)
2 Y 0.286 0.139 0.280 (multiplicity 1)
3 Ho 0.101 0.570 0.140 (multiplicity 1)
4 Ho 0.116 0.499 0.499 (multiplicity 1)
5 Ho 0.300 0.069 0.640 (multiplicity 1)
6 Ho 0.403 0.640 0.781 (multiplicity 1)
7 Tm 0.474 0.217 0.917 (multiplicity 1)
8 Tm 0.507 0.714 0.419 (multiplicity 1)
9 Tm 0.545 0.780 0.063 (multiplicity 1)
10 Tm 0.677 0.359 0.216 (multiplicity 1)
11 Tm 0.723 0.282 0.563 (multiplicity 1)
12 Tm 0.858 0.857 0.717 (multiplicity 1)
13 Tm 0.895 0.923 0.363 (multiplicity 1)
14 Tm 0.931 0.425 0.860 (multiplicity 1)

Results
**E_form**: 0.08 eV/atom
**Energy relative to the lowest polymorph listed for this composition**: 0 meV per atom
**Density of states at the Fermi level**: 11.5 states/eV/f.u.